Record 1
# VCrHPb2 (PBE, relaxed)
data_VCrHPb2
_chemical_formula_sum 'V1 Cr1 H1 Pb2'
_space_group_name_H-M_alt 'P 4/m m m'
_space_group_IT_number 123
_space_group_name_Hall '-P 4 2'
_cell_length_a 5.482
_cell_length_b 5.482
_cell_length_c 3.405
_cell_angle_alpha 90.00
_cell_angle_beta 90.00
_cell_angle_gamma 90.00
loop_
_atom_site_label
_atom_site_type_symbol
_atom_site_fract_x
_atom_site_fract_y
_atom_site_fract_z
V1 V 0.000 0.000 0.000
Cr1 Cr 0.500 0.500 0.500
H1 H 0.000 0.000 0.500
Pb1 Pb 0.000 0.500 0.000
# E_tot, eV/atom: -5.233

***

Record 2
# HoGa6Pd6 (PBE, relaxed)
data_HoGa6Pd6
_chemical_formula_sum 'Ho2 Ga12 Pd12'
_space_group_name_H-M_alt 'I m m m'
_space_group_IT_number 71
_space_group_name_Hall '-I 2 2'
_cell_length_a 5.502
_cell_length_b 8.344
_cell_length_c 9.493
_cell_angle_alpha 90.00
_cell_angle_beta 90.00
_cell_angle_gamma 90.00
loop_
_atom_site_label
_atom_site_type_symbol
_atom_site_fract_x
_atom_site_fract_y
_atom_site_fract_z
Ho1 Ho 0.000 0.000 0.000
Ga1 Ga 0.000 0.000 0.342
Ga2 Ga 0.000 0.351 0.000
Ga3 Ga 0.000 0.500 0.323
Pd1 Pd 0.000 0.260 0.500
Pd2 Pd 0.250 0.250 0.250
# DFT formation energy, eV/atom: -0.62
# E_tot, eV/atom: -4.766

***

Record 3
# PrGdInRu (PBE, relaxed)
data_PrGdInRu
_chemical_formula_sum 'Pr4 Gd4 In4 Ru4'
_space_group_name_H-M_alt 'F -4 3 m'
_space_group_IT_number 216
_space_group_name_Hall 'F -4 2 3'
_cell_length_a 7.342
_cell_length_b 7.342
_cell_length_c 7.342
_cell_angle_alpha 90.00
_cell_angle_beta 90.00
_cell_angle_gamma 90.00
loop_
_atom_site_label
_atom_site_type_symbol
_atom_site_fract_x
_atom_site_fract_y
_atom_site_fract_z
Pr1 Pr 0.000 0.000 0.000
Gd1 Gd 0.000 0.000 0.500
In1 In 0.250 0.250 0.250
Ru1 Ru 0.250 0.250 0.750
# DFT formation energy, eV/atom: -0.23
# E_tot, eV/atom: -7.947

***

Record 4
# U2H2Br7 (PBE, relaxed)
data_U2H2Br7
_chemical_formula_sum 'U4 H4 Br14'
_space_group_name_H-M_alt 'C 1 2/m 1'
_space_group_IT_number 12
_cell_length_a 12.384
_cell_length_b 8.699
_cell_length_c 7.534
_cell_angle_alpha 90.00
_cell_angle_beta 96.15
_cell_angle_gamma 90.00
loop_
_space_group_symop_operation_xyz
'x,y,z'
'-x,-y,-z'
'-x,y,-z'
'x,-y,z'
'x+1/2,y+1/2,z'
'-x+1/2,-y+1/2,-z'
'-x+1/2,y+1/2,-z'
'x+1/2,-y+1/2,z'
loop_
_atom_site_label
_atom_site_type_symbol
_atom_site_fract_x
_atom_site_fract_y
_atom_site_fract_z
U1 U 0.240 0.000 0.043
H1 H 0.000 0.197 0.500
Br1 Br 0.000 0.000 0.000
Br2 Br 0.067 0.500 0.764
Br3 Br 0.207 0.287 0.227
# E_tot, eV/atom: -4.338

***

Record 5
# ZrAgB (PBE, relaxed)
data_ZrAgB
_chemical_formula_sum 'Zr2 Ag2 B2'
_space_group_name_H-M_alt 'P -1'
_space_group_IT_number 2
_cell_length_a 3.432
_cell_length_b 4.598
_cell_length_c 6.813
_cell_angle_alpha 98.69
_cell_angle_beta 90.14
_cell_angle_gamma 111.79
loop_
_space_group_symop_operation_xyz
'x,y,z'
'-x,-y,-z'
loop_
_atom_site_label
_atom_site_type_symbol
_atom_site_fract_x
_atom_site_fract_y
_atom_site_fract_z
Zr1 Zr 0.120 0.243 0.335
Ag1 Ag 0.369 0.738 0.084
B1 B 0.414 0.828 0.428
# DFT formation energy, eV/atom: -0.18
# E_tot, eV/atom: -6.208

***

Record 6
# TlNiRh2N (PBE, relaxed)
data_TlNiRh2N
_chemical_formula_sum 'Tl1 Ni1 Rh2 N1'
_space_group_name_H-M_alt 'P 4/m m m'
_space_group_IT_number 123
_space_group_name_Hall '-P 4 2'
_cell_length_a 4.221
_cell_length_b 4.221
_cell_length_c 3.832
_cell_angle_alpha 90.00
_cell_angle_beta 90.00
_cell_angle_gamma 90.00
loop_
_atom_site_label
_atom_site_type_symbol
_atom_site_fract_x
_atom_site_fract_y
_atom_site_fract_z
Tl1 Tl 0.000 0.000 0.000
Ni1 Ni 0.500 0.500 0.000
Rh1 Rh 0.000 0.500 0.500
N1 N 0.500 0.500 0.500
# Uncorrected formation energy, eV/f.u.: 0.83
# E_tot, eV/atom: -6.069

***

Record 7
# BaAs2Rh (PBE, relaxed)
data_BaAs2Rh
_chemical_formula_sum 'Ba2 As4 Rh2'
_space_group_name_H-M_alt 'I -4 m 2'
_space_group_IT_number 119
_space_group_name_Hall 'I -4 -2'
_cell_length_a 4.562
_cell_length_b 4.562
_cell_length_c 8.787
_cell_angle_alpha 90.00
_cell_angle_beta 90.00
_cell_angle_gamma 90.00
loop_
_atom_site_label
_atom_site_type_symbol
_atom_site_fract_x
_atom_site_fract_y
_atom_site_fract_z
Ba1 Ba 0.000 0.000 0.000
As1 As 0.000 0.000 0.500
As2 As 0.000 0.500 0.250
Rh1 Rh 0.000 0.500 0.750
# DFT formation energy, eV/atom: 0.09
# E_tot, eV/atom: -4.558

***

Record 8
# ErTm2Rh3 (PBE, relaxed)
data_ErTm2Rh3
_chemical_formula_sum 'Er2 Tm4 Rh6'
_space_group_name_H-M_alt 'P -3 m 1'
_space_group_IT_number 164
_space_group_name_Hall '-P 3 2"'
_cell_length_a 4.7879
_cell_length_b 4.7879
_cell_length_c 11.6958
_cell_angle_alpha 90.00
_cell_angle_beta 90.00
_cell_angle_gamma 120.00
loop_
_atom_site_label
_atom_site_type_symbol
_atom_site_fract_x
_atom_site_fract_y
_atom_site_fract_z
Er1 Er 0.3333 0.6667 0.1669
Tm1 Tm 0.0000 0.0000 0.0000
Tm2 Tm 0.0000 0.0000 0.5000
Tm3 Tm 0.3333 0.6667 0.6661
Rh1 Rh 0.0000 0.0000 0.2506
Rh2 Rh 0.3333 0.6667 0.4172
Rh3 Rh 0.3333 0.6667 0.9165
# DFT formation energy, eV/atom: -0.96
# E_tot, eV/atom: -6.887

***

- What is the E_tot in the sixth record?
  -6.069 eV/atom